Entry from the Alexandria database: an optimized crystal structure of CaGe2Ru2 (PBEsol).

Calculated values
total DFT energy (no corrections): -6.97 eV/atom

The structure in CIF format:
```
data_CaGe2Ru2
_chemical_formula_sum 'Ca2 Ge4 Ru4'
_cell_length_a 4.2215
_cell_length_b 4.2215
_cell_length_c 9.9179
_cell_angle_alpha 90.00
_cell_angle_beta 90.00
_cell_angle_gamma 90.00
_space_group_name_H-M_alt 'I 4/m m m'
_space_group_IT_number 139
_space_group_name_Hall '-I 4 2'
loop_
_atom_site_label
_atom_site_type_symbol
_atom_site_fract_x
_atom_site_fract_y
_atom_site_fract_z
_atom_site_occupancy
Ca1 Ca 0.0000 0.0000 0.0000 1
Ge1 Ge 0.0000 0.0000 0.3686 1
Ru1 Ru 0.0000 0.5000 0.2500 1
```